Entry 1:
{
  "formula": "Mn2ZnFe",
  "functional": "PBE-GGA",
  "state": "optimized geometry",
  "space_group": "Cmm2, No. 35",
  "dos_at_fermi_per_ev_atom": 1.35,
  "delta_e_f_ev_per_atom": 0.12,
  "lattice_angstrom": [[-1.654, 1.736, 0.699], [-0.771, -2.267, 0.710], [3.950, 0.890, 7.135]],
  "species": ["Fe", "Mn", "Mn", "Zn"],
  "frac_coords": [[0.500, 0.500, 0.760], [0.000, 0.000, 0.002], [0.500, 0.500, 0.236], [0.000, 0.000, 0.501]]
}

---

Entry 2:
{
  "formula": "MnZn4Fe2",
  "functional": "PBE-GGA",
  "state": "optimized geometry",
  "space_group": "Cmmm, No. 65",
  "dos_at_fermi_per_ev_atom": 0.68,
  "delta_e_f_ev_per_atom": 0.40,
  "lattice_angstrom": [[4.568, 0.000, 0.000], [0.000, 2.467, -0.992], [0.000, 2.031, 8.613]],
  "species": ["Mn", "Zn", "Zn", "Zn", "Zn", "Fe", "Fe"],
  "frac_coords": [[0.000, 0.500, 0.000], [0.500, 0.573, 0.147], [0.000, 0.859, 0.719], [0.500, 0.427, 0.853], [0.000, 0.141, 0.281], [0.500, 0.198, 0.395], [0.500, 0.802, 0.605]]
}

---

Entry 3:
{
  "formula": "Mn2ZnFe",
  "functional": "PBE-GGA",
  "state": "optimized geometry",
  "space_group": "C2/m, No. 12",
  "dos_at_fermi_per_ev_atom": 1.19,
  "delta_e_f_ev_per_atom": 0.18,
  "lattice_angstrom": [[4.469, 0.014, -0.066], [3.743, 2.440, -0.066], [0.895, 0.267, 4.276]],
  "species": ["Fe", "Mn", "Mn", "Zn"],
  "frac_coords": [[0.250, 0.250, 0.250], [0.991, 0.991, 0.016], [0.509, 0.509, 0.484], [0.750, 0.750, 0.750]]
}

---

Entry 4:
{
  "formula": "Mn2ZnFe",
  "functional": "PBE-GGA",
  "state": "optimized geometry",
  "space_group": "Immm, No. 71",
  "dos_at_fermi_per_ev_atom": 1.25,
  "delta_e_f_ev_per_atom": 0.20,
  "lattice_angstrom": [[4.821, 0.012, 0.066], [2.284, 4.246, -0.066], [-3.120, -2.850, 2.321]],
  "species": ["Fe", "Mn", "Mn", "Zn"],
  "frac_coords": [[0.750, 0.250, 0.500], [0.985, 0.985, 0.000], [0.515, 0.515, 0.000], [0.250, 0.750, 0.500]]
}

---

Entry 5:
{
  "formula": "MnZnFe",
  "functional": "PBE-GGA",
  "state": "optimized geometry",
  "e_above_lowest_polymorph_mev_per_atom": 0,
  "space_group": "I4mm, No. 107",
  "dos_at_fermi_per_ev_atom": 0.81,
  "delta_e_f_ev_per_atom": 0.07,
  "lattice_angstrom": [[5.734, 0.093, 0.000], [4.509, 3.543, 0.000], [-5.122, -1.818, 1.830]],
  "species": ["Fe", "Mn", "Zn"],
  "frac_coords": [[0.992, 0.992, 0.000], [0.343, 0.343, 0.000], [0.665, 0.665, 0.000]]
}

---

Entry 6:
{
  "formula": "MnZn2Fe2",
  "functional": "PBE-GGA",
  "state": "optimized geometry",
  "e_above_lowest_polymorph_mev_per_atom": 40,
  "space_group": "P4/mbm, No. 127",
  "dos_at_fermi_per_ev_atom": 1.86,
  "delta_e_f_ev_per_atom": 0.42,
  "lattice_angstrom": [[6.822, 0.000, 0.000], [0.000, 6.822, 0.000], [0.000, 0.000, 2.770]],
  "species": ["Zn", "Zn", "Zn", "Zn", "Mn", "Mn", "Fe", "Fe", "Fe", "Fe"],
  "frac_coords": [[0.370, 0.870, 0.000], [0.870, 0.630, 0.000], [0.630, 0.130, 0.000], [0.130, 0.370, 0.000], [0.000, 0.000, 0.000], [0.500, 0.500, 0.000], [0.170, 0.670, 0.500], [0.670, 0.830, 0.500], [0.830, 0.330, 0.500], [0.330, 0.170, 0.500]]
}